Here is a relaxed Ho5Ag crystal from Alexandria. Energies are from PBE.

Cell: 7.8229 7.8229 4.8522 Å, 90.00 90.00 145.10°
Closest atoms and distances in Å follow each position.
Fractional positions:
Ho: 0.0000 0.0000 0.0000  4 Ag 3.37, 8 Ho 3.43-3.46
Ho: 0.1621 0.8379 0.5000  2 Ag 3.37, 10 Ho 3.38-3.52
Ho: 0.3300 0.6700 0.0000  10 Ho 3.35-3.49, 2 Ag 3.51
Ho: 0.6700 0.3300 0.0000  10 Ho 3.35-3.49, 2 Ag 3.51
Ho: 0.8379 0.1621 0.5000  2 Ag 3.37, 10 Ho 3.38-3.52
Ag: 0.5000 0.5000 0.5000  12 Ho 3.37-3.51

## Properties
The calculation puts the formation enthalpy at 0 K at 0.011 eV/atom. The calculation puts the total magnetic moment at 0.0 μB/f.u. The space-group type is No. 65.